a:
DFT (PBE) results for NbTeW3 after structural relaxation.

Summary:
space-group type: Pm-3m (221)

Cell: 4.8457 4.8457 4.8457 Å, 90.00 90.00 90.00°
With the nearest neighbours (Å) after each atom.
Element x y z (fractional)
Nb1 0.0000 0.0000 0.0000  6 W 2.42
Te1 0.5000 0.5000 0.5000  12 W 3.43
W1 0.0000 0.0000 0.5000  2 Nb 2.42
W2 0.0000 0.5000 0.0000  2 Nb 2.42
W3 0.5000 0.0000 0.0000  2 Nb 2.42

b:
DFT (PBE) results for NbTeW3 after structural relaxation.

Summary:
space-group type: Pm-3m (221)

Cell: 4.8153 4.8153 4.8153 Å, 90.00 90.00 90.00°
With the nearest neighbours (Å) after each atom.
Element x y z (fractional)
Nb1 0.0000 0.0000 0.0000  12 W 3.40
Te1 0.5000 0.5000 0.5000  6 W 2.41
W1 0.0000 0.5000 0.5000  2 Te 2.41
W2 0.5000 0.0000 0.5000  2 Te 2.41
W3 0.5000 0.5000 0.0000  2 Te 2.41

Which of them is the most stable, and which is the least stable? a and b, in that order.

a:
DFT (PBE) results for NbTe2W after structural relaxation.

Summary:
space-group type: R-3m (166)

Cell: 3.3012 3.3012 28.3712 Å, 90.00 90.00 120.00°
With the nearest neighbours (Å) after each atom.
Element x y z (fractional)
Nb1 0.0000 0.0000 0.0000  2 Te 2.77
Nb2 0.3333 0.6667 0.6667  2 Te 2.77
Nb3 0.6667 0.3333 0.3333  2 Te 2.77
Te1 0.0000 0.0000 0.0975  3 W 2.74, 1 Nb 2.77
Te2 0.0000 0.0000 0.9025  3 W 2.74, 1 Nb 2.77
Te3 0.3333 0.6667 0.5692  3 W 2.74, 1 Nb 2.77
Te4 0.3333 0.6667 0.7642  3 W 2.74, 1 Nb 2.77
Te5 0.6667 0.3333 0.2358  3 W 2.74, 1 Nb 2.77
Te6 0.6667 0.3333 0.4308  3 W 2.74, 1 Nb 2.77
W1 0.0000 0.0000 0.5000  6 Te 2.74
W2 0.3333 0.6667 0.1667  6 Te 2.74
W3 0.6667 0.3333 0.8333  6 Te 2.74

b:
DFT (PBE) results for NbTe2W after structural relaxation.

Summary:
space-group type: I-42d (122)

Cell: 6.2601 6.2601 12.3868 Å, 90.00 90.00 90.00°
With the nearest neighbours (Å) after each atom.
Element x y z (fractional)
Nb1 0.0000 0.0000 0.0000  4 Te 2.75
Nb2 0.0000 0.5000 0.2500  4 Te 2.75
Nb3 0.5000 0.0000 0.7500  4 Te 2.75
Nb4 0.5000 0.5000 0.5000  4 Te 2.75
Te1 0.2367 0.2500 0.6250  2 W 2.65, 2 Nb 2.75
Te2 0.2500 0.7367 0.8750  2 W 2.65, 2 Nb 2.75
Te3 0.2500 0.7633 0.3750  2 W 2.65, 2 Nb 2.75
Te4 0.2633 0.2500 0.1250  2 W 2.65, 2 Nb 2.75
Te5 0.7367 0.7500 0.1250  2 W 2.65, 2 Nb 2.75
Te6 0.7500 0.2367 0.3750  2 W 2.65, 2 Nb 2.75
Te7 0.7500 0.2633 0.8750  2 W 2.65, 2 Nb 2.75
Te8 0.7633 0.7500 0.6250  2 W 2.65, 2 Nb 2.75
W1 0.0000 0.0000 0.5000  4 Te 2.65
W2 0.0000 0.5000 0.7500  4 Te 2.65
W3 0.5000 0.0000 0.2500  4 Te 2.65
W4 0.5000 0.5000 0.0000  4 Te 2.65

Which of them is the most stable, and which is the least stable? a and b, in that order.

a:
DFT (PBE) results for YNb3Te after structural relaxation.

Summary:
space-group type: Pm-3m (221)

Cell: 5.0749 5.0749 5.0749 Å, 90.00 90.00 90.00°
With the nearest neighbours (Å) after each atom.
Element x y z (fractional)
Y1 0.0000 0.0000 0.0000  12 Nb 3.59
Nb1 0.0000 0.5000 0.5000  2 Te 2.54
Nb2 0.5000 0.0000 0.5000  2 Te 2.54
Nb3 0.5000 0.5000 0.0000  2 Te 2.54
Te1 0.5000 0.5000 0.5000  6 Nb 2.54

b:
DFT (PBE) results for YNb3Te after structural relaxation.

Summary:
space-group type: Pm-3m (221)

Cell: 5.0161 5.0161 5.0161 Å, 90.00 90.00 90.00°
With the nearest neighbours (Å) after each atom.
Element x y z (fractional)
Y1 0.0000 0.0000 0.0000  6 Nb 2.51
Nb1 0.0000 0.0000 0.5000  2 Y 2.51
Nb2 0.0000 0.5000 0.0000  2 Y 2.51
Nb3 0.5000 0.0000 0.0000  2 Y 2.51
Te1 0.5000 0.5000 0.5000  12 Nb 3.55

Which of them is the most stable, and which is the least stable? a and b, in that order.

a:
DFT (PBE) results for Y2Nb2Te after structural relaxation.

Summary:
space-group type: I4/mmm (139)

Cell: 4.5047 4.5047 13.1857 Å, 90.00 90.00 90.00°
With the nearest neighbours (Å) after each atom.
Element x y z (fractional)
Y1 0.0000 0.5000 0.2500  4 Nb 3.12, 4 Y 3.19
Y2 0.0000 0.5000 0.7500  4 Nb 3.12, 4 Y 3.19
Y3 0.5000 0.0000 0.2500  4 Nb 3.12, 4 Y 3.19
Y4 0.5000 0.0000 0.7500  4 Nb 3.12, 4 Y 3.19
Nb1 0.0000 0.0000 0.0861  1 Nb 2.27
Nb2 0.0000 0.0000 0.9139  1 Nb 2.27
Nb3 0.5000 0.5000 0.4139  1 Nb 2.27
Nb4 0.5000 0.5000 0.5861  1 Nb 2.27
Te1 0.0000 0.0000 0.5000  8 Nb 3.38
Te2 0.5000 0.5000 0.0000  8 Nb 3.38

b:
DFT (PBE) results for Y2Nb2Te after structural relaxation.

Summary:
space-group type: P4/mbm (127)

Cell: 7.8452 7.8452 4.0892 Å, 90.00 90.00 90.00°
With the nearest neighbours (Å) after each atom.
Element x y z (fractional)
Y1 0.1893 0.3107 0.0000  6 Nb 3.07-3.15
Y2 0.3107 0.8107 0.0000  6 Nb 3.07-3.15
Y3 0.6893 0.1893 0.0000  6 Nb 3.07-3.15
Y4 0.8107 0.6893 0.0000  6 Nb 3.07-3.15
Nb1 0.1048 0.6048 0.5000  1 Nb 2.33
Nb2 0.3952 0.1048 0.5000  1 Nb 2.33
Nb3 0.6048 0.8952 0.5000  1 Nb 2.33
Nb4 0.8952 0.3952 0.5000  1 Nb 2.33
Te1 0.0000 0.0000 0.5000  4 Nb 3.21, 8 Y 3.51
Te2 0.5000 0.5000 0.5000  4 Nb 3.21, 8 Y 3.51

Which of them is the most stable, and which is the least stable? b and a, in that order.